An optimized crystal structure of CsYW2O8. Source: the Alexandria database, functional PBE+U.

Results
Fermi-level density of states: 0.0 states/eV per cell
Total DFT energy (no corrections): -7.477 eV per atom

abc: 5.844 5.844 9.523
angles: 72.13 72.13 60.00
Atoms (fractional coordinates):
O  0.774  0.979  0.852
O  0.021  0.606  0.148
O  0.804  0.804  0.588
O  0.394  0.774  0.852
Y  0.000  0.000  0.000
O  0.606  0.226  0.148
Cs  0.500  0.500  0.500
O  0.979  0.394  0.852
W  0.737  0.737  0.788
O  0.226  0.021  0.148
O  0.196  0.196  0.412
W  0.263  0.263  0.212